! PBEsol MgTcTe, optimized geometry; values from VASP
! Volume ... 238.9 Å³/cell
! SG ... Fmm2 (42)
! ΔE to the lowest computed polymorph ... 0 meV/atom
! Uncorrected formation energy ... 0.437 eV per atom
! Total magnetization ... 0.00 μB per atom
! Total energy ... -5.066 eV/atom
&SYSTEM
  ibrav = 0, nat = 12, ntyp = 3
/
ATOMIC_SPECIES
Mg 24.30 Mg.upf
Tc 98.00 Tc.upf
Te 127.60 Te.upf
CELL_PARAMETERS angstrom
3.3234 0.0000 0.0000
0.0000 5.2422 0.0000
0.0000 0.0000 13.7104
ATOMIC_POSITIONS angstrom
Mg 0.0000 0.0000 0.0000
Mg 0.0000 2.6211 6.8552
Mg 1.6617 0.0000 6.8552
Mg 1.6617 2.6211 0.0000
Tc 0.0000 0.0000 4.7567
Tc 0.0000 2.6211 11.6119
Tc 1.6617 0.0000 11.6119
Tc 1.6617 2.6211 4.7567
Te 0.0000 0.0000 9.6193
Te 0.0000 2.6211 2.7641
Te 1.6617 0.0000 2.7641
Te 1.6617 2.6211 9.6193